# NbTlPb

Crystalline NbTlPb at its relaxed geometry (PBE, the Open Quantum Materials Database).

The calculation puts the theoretical density at 9.67 g cm⁻³. The offset from the most stable computed form is 0 meV/atom. For the size of the total moment, the calculation gives 2.36 μB per formula unit.

Unit cell a=4.9665 b=4.9665 c=4.9665 alpha=60.00 beta=60.00 gamma=60.00
With the nearest neighbours (Å) after each atom.
Atoms (fractional coordinates):
Tl: 0.7500 0.7500 0.7500  4 Pb 3.04
Pb: 0.0000 0.0000 0.0000  4 Tl 3.04, 4 Nb 3.04
Nb: 0.2500 0.2500 0.2500  4 Pb 3.04